1.
# Pb | Alexandria | PBEsol | optimized geometry
# DFT formation energy	1.1	kJ per mole of atoms
# V	29.431	Å³ per atom
# space-group type	P6_3/mmc
data_Pb
_symmetry_space_group_name_H-M 'P 1'
_symmetry_Int_Tables_number 1
_symmetry_space_group_name_Hall 'P 1'
_cell_length_a 3.454
_cell_length_b 3.454
_cell_length_c 5.697
_cell_angle_alpha 90.00
_cell_angle_beta 90.00
_cell_angle_gamma 120.00
loop_
_atom_site_label
_atom_site_type_symbol
_atom_site_fract_x
_atom_site_fract_y
_atom_site_fract_z
Pb1 Pb 0.667 0.333 0.750
Pb2 Pb 0.333 0.667 0.250

=====

2.
# Pb | Alexandria | PBEsol | optimized geometry
# DFT formation energy	0.0	kJ per mole of atoms
# V	29.716	Å³ per atom
# space-group type	I4/mmm
data_Pb
_symmetry_space_group_name_H-M 'P 1'
_symmetry_Int_Tables_number 1
_symmetry_space_group_name_Hall 'P 1'
_cell_length_a 3.463
_cell_length_b 3.463
_cell_length_c 3.463
_cell_angle_alpha 88.62
_cell_angle_beta 60.79
_cell_angle_gamma 119.21
loop_
_atom_site_label
_atom_site_type_symbol
_atom_site_fract_x
_atom_site_fract_y
_atom_site_fract_z
Pb1 Pb 0.000 0.000 0.000

=====

3.
# Pb | Alexandria | PBEsol | optimized geometry
# DFT formation energy	1.0	kJ per mole of atoms
# V	29.662	Å³ per atom
# space-group type	C2/m
data_Pb
_symmetry_space_group_name_H-M 'P 1'
_symmetry_Int_Tables_number 1
_symmetry_space_group_name_Hall 'P 1'
_cell_length_a 3.498
_cell_length_b 3.498
_cell_length_c 8.664
_cell_angle_alpha 79.43
_cell_angle_beta 79.43
_cell_angle_gamma 59.19
loop_
_atom_site_label
_atom_site_type_symbol
_atom_site_fract_x
_atom_site_fract_y
_atom_site_fract_z
Pb1 Pb 0.000 0.000 0.000
Pb2 Pb 0.778 0.778 0.670
Pb3 Pb 0.222 0.222 0.330

=====

4.
# PdPb2 | Alexandria | PBEsol | optimized geometry
# DFT formation energy	-20.1	kJ per mole of atoms
# V	22.698	Å³ per atom
# space-group type	I4/mcm
data_PdPb2
_symmetry_space_group_name_H-M 'P 1'
_symmetry_Int_Tables_number 1
_symmetry_space_group_name_Hall 'P 1'
_cell_length_a 5.649
_cell_length_b 5.649
_cell_length_c 5.649
_cell_angle_alpha 105.21
_cell_angle_beta 105.21
_cell_angle_gamma 118.37
loop_
_atom_site_label
_atom_site_type_symbol
_atom_site_fract_x
_atom_site_fract_y
_atom_site_fract_z
Pd1 Pd 0.250 0.250 0.000
Pd2 Pd 0.750 0.750 0.000
Pb1 Pb 0.663 0.163 0.825
Pb2 Pb 0.163 0.337 0.500
Pb3 Pb 0.337 0.837 0.175
Pb4 Pb 0.837 0.663 0.500

=====

5.
# Pd3Pb4 | Alexandria | PBEsol | optimized geometry
# DFT formation energy	-19.1	kJ per mole of atoms
# V	22.778	Å³ per atom
# space-group type	R-3m
data_Pd3Pb4
_symmetry_space_group_name_H-M 'P 1'
_symmetry_Int_Tables_number 1
_symmetry_space_group_name_Hall 'P 1'
_cell_length_a 4.393
_cell_length_b 4.393
_cell_length_c 9.873
_cell_angle_alpha 77.15
_cell_angle_beta 77.15
_cell_angle_gamma 60.00
loop_
_atom_site_label
_atom_site_type_symbol
_atom_site_fract_x
_atom_site_fract_y
_atom_site_fract_z
Pb1 Pb 0.879 0.879 0.363
Pb2 Pb 0.121 0.121 0.637
Pb3 Pb 0.300 0.300 0.101
Pb4 Pb 0.700 0.700 0.899
Pd1 Pd 0.595 0.595 0.214
Pd2 Pd 0.500 0.500 0.500
Pd3 Pd 0.405 0.405 0.786

=====

6.
# PdPb | Alexandria | PBEsol | optimized geometry
# DFT formation energy	-23.7	kJ per mole of atoms
# V	20.144	Å³ per atom
# space-group type	Cmcm
data_PdPb
_symmetry_space_group_name_H-M 'P 1'
_symmetry_Int_Tables_number 1
_symmetry_space_group_name_Hall 'P 1'
_cell_length_a 3.485
_cell_length_b 4.378
_cell_length_c 5.561
_cell_angle_alpha 90.00
_cell_angle_beta 108.26
_cell_angle_gamma 90.00
loop_
_atom_site_label
_atom_site_type_symbol
_atom_site_fract_x
_atom_site_fract_y
_atom_site_fract_z
Pb1 Pb 0.355 0.750 0.711
Pb2 Pb 0.645 0.250 0.289
Pd1 Pd 0.917 0.250 0.834
Pd2 Pd 0.083 0.750 0.166

=====

7.
# Pd5Pb3 | Alexandria | PBEsol | optimized geometry
# DFT formation energy	-25.7	kJ per mole of atoms
# V	18.338	Å³ per atom
# space-group type	C2/c
data_Pd5Pb3
_symmetry_space_group_name_H-M 'P 1'
_symmetry_Int_Tables_number 1
_symmetry_space_group_name_Hall 'P 1'
_cell_length_a 7.213
_cell_length_b 7.213
_cell_length_c 7.282
_cell_angle_alpha 64.30
_cell_angle_beta 64.30
_cell_angle_gamma 64.39
loop_
_atom_site_label
_atom_site_type_symbol
_atom_site_fract_x
_atom_site_fract_y
_atom_site_fract_z
Pd1 Pd 0.622 0.878 0.250
Pd2 Pd 0.207 0.136 0.160
Pd3 Pd 0.036 0.621 0.341
Pd4 Pd 0.798 0.039 0.413
Pd5 Pd 0.445 0.718 0.087
Pd6 Pd 0.122 0.378 0.750
Pd7 Pd 0.282 0.555 0.913
Pd8 Pd 0.961 0.202 0.587
Pd9 Pd 0.864 0.793 0.840
Pd10 Pd 0.379 0.964 0.659
Pb1 Pb 0.539 0.169 0.789
Pb2 Pb 0.413 0.296 0.289
Pb3 Pb 0.009 0.991 0.000
Pb4 Pb 0.831 0.461 0.211
Pb5 Pb 0.234 0.766 0.500
Pb6 Pb 0.704 0.587 0.711

=====

8.
# PrPdPb | Alexandria | PBEsol | optimized geometry
# DFT formation energy	-71.5	kJ per mole of atoms
# V	23.514	Å³ per atom
# space-group type	P-62m
data_PrPdPb
_symmetry_space_group_name_H-M 'P 1'
_symmetry_Int_Tables_number 1
_symmetry_space_group_name_Hall 'P 1'
_cell_length_a 4.099
_cell_length_b 7.721
_cell_length_c 7.721
_cell_angle_alpha 120.00
_cell_angle_beta 90.00
_cell_angle_gamma 90.00
loop_
_atom_site_label
_atom_site_type_symbol
_atom_site_fract_x
_atom_site_fract_y
_atom_site_fract_z
Pb1 Pb 0.000 0.000 0.256
Pb2 Pb 0.000 0.256 0.000
Pb3 Pb 0.000 0.744 0.744
Pd1 Pd 0.000 0.667 0.333
Pd2 Pd 0.500 0.000 0.000
Pd3 Pd 0.000 0.333 0.667
Pr1 Pr 0.500 0.000 0.590
Pr2 Pr 0.500 0.410 0.410
Pr3 Pr 0.500 0.590 0.000

=====

Going through the records in order, we get calculated total energy values of -3.9877, -3.9987, -3.9882, -4.8602, -5.0366, -5.2247, -5.4900, -5.7884 eV per atom.